1.
Below is a relaxed structure of Nd3HoSn4, with properties calculated at the GGA-PBE level.

```
data_Nd3HoSn4
_symmetry_space_group_name_H-M 'P 1'
_symmetry_Int_Tables_number 1
_symmetry_space_group_name_Hall 'P 1'
_cell_length_a 3.9583
_cell_length_b 7.1651
_cell_length_c 9.7259
_cell_angle_alpha 111.61
_cell_angle_beta 101.74
_cell_angle_gamma 90.00
loop_
_atom_site_label
_atom_site_type_symbol
_atom_site_fract_x
_atom_site_fract_y
_atom_site_fract_z
Sn1 Sn 0.6278 0.4213 0.2555
Sn2 Sn 0.6277 0.8341 0.2554
Sn3 Sn 0.3722 0.5787 0.7445
Sn4 Sn 0.3723 0.1659 0.7446
Nd1 Nd 0.0000 0.5000 0.0000
Nd2 Nd 0.2070 0.2069 0.4141
Nd3 Nd 0.7930 0.7931 0.5859
Ho1 Ho 0.5000 0.0000 0.0000
```

Calculated values
Magnetization in μB/f.u.: 0.0
Formation energy from the elements in eV/f.u.: -4.52

2.
Below is a relaxed structure of NdHo5Sn4, with properties calculated at the GGA-PBE level.

```
data_NdHo5Sn4
_symmetry_space_group_name_H-M 'P 1'
_symmetry_Int_Tables_number 1
_symmetry_space_group_name_Hall 'P 1'
_cell_length_a 4.4392
_cell_length_b 8.0401
_cell_length_c 9.1749
_cell_angle_alpha 102.13
_cell_angle_beta 104.00
_cell_angle_gamma 90.00
loop_
_atom_site_label
_atom_site_type_symbol
_atom_site_fract_x
_atom_site_fract_y
_atom_site_fract_z
Ho1 Ho 0.5000 0.5000 0.0000
Ho2 Ho 0.7937 0.6932 0.5873
Ho3 Ho 0.2063 0.3068 0.4127
Ho4 Ho 0.8608 0.2771 0.7217
Ho5 Ho 0.1392 0.7229 0.2783
Sn1 Sn 0.6894 0.0113 0.3787
Sn2 Sn 0.3106 0.9887 0.6213
Sn3 Sn 0.9628 0.7161 0.9256
Sn4 Sn 0.0372 0.2839 0.0744
Nd1 Nd 0.5000 0.0000 0.0000
```

Calculated values
Magnetization in μB/f.u.: 0.1
Formation energy from the elements in eV/f.u.: -4.04

3.
Below is a relaxed structure of NdHoSnTe, with properties calculated at the GGA-PBE level.

```
data_NdHoSnTe
_symmetry_space_group_name_H-M 'P 1'
_symmetry_Int_Tables_number 1
_symmetry_space_group_name_Hall 'P 1'
_cell_length_a 4.4468
_cell_length_b 4.4468
_cell_length_c 7.7433
_cell_angle_alpha 73.31
_cell_angle_beta 73.31
_cell_angle_gamma 60.00
loop_
_atom_site_label
_atom_site_type_symbol
_atom_site_fract_x
_atom_site_fract_y
_atom_site_fract_z
Sn1 Sn 0.9409 0.9409 0.1774
Te1 Te 0.4477 0.4477 0.6569
Ho1 Ho 0.1978 0.1978 0.4067
Nd1 Nd 0.6901 0.6901 0.9297
```

Calculated values
Magnetization in μB/f.u.: 0.0
Formation energy (no corrections) in eV/atom: -1.07

4.
Below is a relaxed structure of NdHoTlSn, with properties calculated at the GGA-PBE level.

```
data_NdHoTlSn
_symmetry_space_group_name_H-M 'P 1'
_symmetry_Int_Tables_number 1
_symmetry_space_group_name_Hall 'P 1'
_cell_length_a 5.4246
_cell_length_b 5.4246
_cell_length_c 5.4246
_cell_angle_alpha 60.00
_cell_angle_beta 60.00
_cell_angle_gamma 60.00
loop_
_atom_site_label
_atom_site_type_symbol
_atom_site_fract_x
_atom_site_fract_y
_atom_site_fract_z
Sn1 Sn 0.2500 0.2500 0.2500
Ho1 Ho 0.0000 0.0000 0.0000
Nd1 Nd 0.5000 0.5000 0.5000
Tl1 Tl 0.7500 0.7500 0.7500
```

Calculated values
Magnetization in μB/f.u.: 0.0
Formation energy from the elements in eV/f.u.: -1.87

5.
Below is a relaxed structure of NdHoZnSn, with properties calculated at the GGA-PBE level.

```
data_NdHoZnSn
_symmetry_space_group_name_H-M 'P 1'
_symmetry_Int_Tables_number 1
_symmetry_space_group_name_Hall 'P 1'
_cell_length_a 5.2574
_cell_length_b 5.2574
_cell_length_c 5.2574
_cell_angle_alpha 60.00
_cell_angle_beta 60.00
_cell_angle_gamma 60.00
loop_
_atom_site_label
_atom_site_type_symbol
_atom_site_fract_x
_atom_site_fract_y
_atom_site_fract_z
Ho1 Ho 0.0000 0.0000 0.0000
Sn1 Sn 0.2500 0.2500 0.2500
Nd1 Nd 0.5000 0.5000 0.5000
Zn1 Zn 0.7500 0.7500 0.7500
```

Calculated values
Magnetization in μB/f.u.: 0.0
Formation energy from the elements in eV/f.u.: -2.00

6.
Below is a relaxed structure of SrNd8Ho6, with properties calculated at the GGA-PBE level.

```
data_SrNd8Ho6
_symmetry_space_group_name_H-M 'P 1'
_symmetry_Int_Tables_number 1
_symmetry_space_group_name_Hall 'P 1'
_cell_length_a 8.3283
_cell_length_b 8.3283
_cell_length_c 8.3283
_cell_angle_alpha 72.37
_cell_angle_beta 72.37
_cell_angle_gamma 72.37
loop_
_atom_site_label
_atom_site_type_symbol
_atom_site_fract_x
_atom_site_fract_y
_atom_site_fract_z
Nd1 Nd 0.6149 0.9461 0.1415
Nd2 Nd 0.9461 0.1415 0.6149
Nd3 Nd 0.0539 0.8585 0.3851
Nd4 Nd 0.1415 0.6149 0.9461
Nd5 Nd 0.3851 0.0539 0.8585
Nd6 Nd 0.7596 0.7596 0.7596
Nd7 Nd 0.8585 0.3851 0.0539
Nd8 Nd 0.2404 0.2404 0.2404
Ho1 Ho 0.4353 0.6164 0.1762
Ho2 Ho 0.8238 0.5647 0.3836
Ho3 Ho 0.1762 0.4353 0.6164
Ho4 Ho 0.6164 0.1762 0.4353
Ho5 Ho 0.3836 0.8238 0.5647
Ho6 Ho 0.5647 0.3836 0.8238
Sr1 Sr 0.0000 0.0000 0.0000
```

Calculated values
Magnetization in μB/f.u.: 0.0
Formation energy from the elements in eV/f.u.: 3.04

7.
Below is a relaxed structure of SrNdHo, with properties calculated at the GGA-PBE level.

```
data_SrNdHo
_symmetry_space_group_name_H-M 'P 1'
_symmetry_Int_Tables_number 1
_symmetry_space_group_name_Hall 'P 1'
_cell_length_a 3.7623
_cell_length_b 3.7623
_cell_length_c 9.3598
_cell_angle_alpha 90.00
_cell_angle_beta 90.00
_cell_angle_gamma 120.00
loop_
_atom_site_label
_atom_site_type_symbol
_atom_site_fract_x
_atom_site_fract_y
_atom_site_fract_z
Ho1 Ho 0.3333 0.6667 0.6491
Nd1 Nd 0.6667 0.3333 0.3557
Sr1 Sr 0.0000 0.0000 0.9952
```

Calculated values
Magnetization in μB/f.u.: 0.0
Formation energy from the elements in eV/f.u.: 0.40
Energy above the most stable polymorph in this dataset in meV per atom: 20

8.
Below is a relaxed structure of SrNd12Ho6, with properties calculated at the GGA-PBE level.

```
data_SrNd12Ho6
_symmetry_space_group_name_H-M 'P 1'
_symmetry_Int_Tables_number 1
_symmetry_space_group_name_Hall 'P 1'
_cell_length_a 8.9160
_cell_length_b 8.9160
_cell_length_c 8.9160
_cell_angle_alpha 98.23
_cell_angle_beta 98.23
_cell_angle_gamma 98.23
loop_
_atom_site_label
_atom_site_type_symbol
_atom_site_fract_x
_atom_site_fract_y
_atom_site_fract_z
Nd1 Nd 0.2381 0.5000 0.7619
Nd2 Nd 0.5000 0.7619 0.2381
Nd3 Nd 0.7619 0.5000 0.2381
Nd4 Nd 0.3599 0.0860 0.3599
Nd5 Nd 0.2381 0.7619 0.5000
Nd6 Nd 0.7619 0.2381 0.5000
Nd7 Nd 0.6401 0.9140 0.6401
Nd8 Nd 0.6401 0.6401 0.9140
Nd9 Nd 0.5000 0.2381 0.7619
Nd10 Nd 0.3599 0.3599 0.0860
Nd11 Nd 0.9140 0.6401 0.6401
Nd12 Nd 0.0860 0.3599 0.3599
Ho1 Ho 0.1009 0.1009 0.6521
Ho2 Ho 0.8991 0.8991 0.3479
Ho3 Ho 0.8991 0.3479 0.8991
Ho4 Ho 0.3479 0.8991 0.8991
Ho5 Ho 0.1009 0.6521 0.1009
Ho6 Ho 0.6521 0.1009 0.1009
Sr1 Sr 0.0000 0.0000 0.0000
```

Calculated values
Magnetization in μB/f.u.: 0.0
Formation energy from the elements in eV/f.u.: 3.70

9.
Below is a relaxed structure of SrNdHo4, with properties calculated at the GGA-PBE level.

```
data_SrNdHo4
_symmetry_space_group_name_H-M 'P 1'
_symmetry_Int_Tables_number 1
_symmetry_space_group_name_Hall 'P 1'
_cell_length_a 6.7568
_cell_length_b 6.7568
_cell_length_c 6.7568
_cell_angle_alpha 60.00
_cell_angle_beta 60.00
_cell_angle_gamma 60.00
loop_
_atom_site_label
_atom_site_type_symbol
_atom_site_fract_x
_atom_site_fract_y
_atom_site_fract_z
Sr1 Sr 0.2500 0.2500 0.2500
Ho1 Ho 0.6275 0.6275 0.1175
Ho2 Ho 0.6275 0.1175 0.6275
Ho3 Ho 0.1175 0.6275 0.6275
Ho4 Ho 0.6275 0.6275 0.6275
Nd1 Nd 0.0000 0.0000 0.0000
```

Calculated values
Magnetization in μB/f.u.: 0.0
Formation energy from the elements in eV/f.u.: 1.57

10.
Below is a relaxed structure of SrNdHo, with properties calculated at the GGA-PBE level.

```
data_SrNdHo
_symmetry_space_group_name_H-M 'P 1'
_symmetry_Int_Tables_number 1
_symmetry_space_group_name_Hall 'P 1'
_cell_length_a 3.7702
_cell_length_b 3.7702
_cell_length_c 8.5311
_cell_angle_alpha 102.77
_cell_angle_beta 102.77
_cell_angle_gamma 90.00
loop_
_atom_site_label
_atom_site_type_symbol
_atom_site_fract_x
_atom_site_fract_y
_atom_site_fract_z
Ho1 Ho 0.3209 0.3209 0.6417
Sr1 Sr 0.9985 0.9985 0.9969
Nd1 Nd 0.6807 0.6807 0.3613
```

Calculated values
Magnetization in μB/f.u.: 0.0
Formation energy from the elements in eV/f.u.: 0.34
Energy above the most stable polymorph in this dataset in meV per atom: 0